DFT (PBE with a Hubbard U) results for an optimized crystal structure of PaFeF6.

a b c (Å): 5.471 5.472 4.998
angles (deg): 56.81 84.01 79.01
Site moments in Bohr magnetons follow the coordinates.
Atoms (fractional coordinates):
Pa  0.500  0.500  0.000  1.04
Fe  0.000  0.000  0.000  3.81
F  0.734  0.381  0.683  0.01
F  0.734  0.064  0.317  0.01
F  0.266  0.936  0.683  0.01
F  0.266  0.619  0.317  0.01
F  0.789  0.735  0.000  0.01
F  0.211  0.265  0.000  0.01

The spin magnetization is 5.0 μB per formula unit. The value obtained for the volume is 15.4 Å³/atom. Its symmetry is C2/m. Its total energy is -6.54 eV/atom.